# 1
A plane-wave DFT calculation with PBE-GGA was carried out for FeH4Rh after structural relaxation.

The structure belongs to space group P4/mmm (No. 123); the cell edges are 3.023, 3.023 and 4.171 Å and the angles 90.00°, 90.00° and 90.00°. The distinct sites, in fractional coordinates, are Fe at (0.000, 0.000, 0.000), H at (0.000, 0.500, 0.243) and Rh at (0.500, 0.500, 0.500).

As for the density: 7.09 g cm⁻³. Its total energy is -4.79 eV/atom.

=====

# 2
A plane-wave DFT calculation with PBE-GGA was carried out for FeHRh3 after structural relaxation.

The structure belongs to space group R-3m (No. 166, hexagonal axes); the cell edges are 5.3838, 5.3838 and 14.2963 Å and the angles 90.00°, 90.00° and 120.00°. The distinct sites, in fractional coordinates, are Fe at (0.0000, 0.0000, 0.0910), H at (0.0000, 0.0000, 0.3298) and Rh at (0.0025, 0.5013, 0.9091).

As for the density: 10.15 g cm⁻³. The polymorph energy (0 for the lowest one) comes out at 0.1866 eV per atom.

=====

# 3
A plane-wave DFT calculation with PBE-GGA was carried out for Fe2H2Rh3 after structural relaxation.

The structure belongs to space group Immm (No. 71); the cell edges are 2.715, 4.089 and 13.170 Å and the angles 90.00°, 90.00° and 90.00°. The distinct sites, in fractional coordinates, are Fe at (0.000, 0.000, 0.122), H at (0.000, 0.500, 0.443), Rh at (0.000, 0.000, 0.312) and Rh at (0.000, 0.500, 0.000).

As for the density: 9.60 g cm⁻³. The polymorph energy (0 for the lowest one) comes out at 0.1443 eV per atom.